Below is a relaxed CsLiWO4 crystal, with properties calculated at the PBE+U level.

The structure in CIF format:
```
data_CsLiWO4
_chemical_formula_sum 'Cs2 Li2 W2 O8'
_space_group_name_H-M_alt 'I -4'
_space_group_IT_number 82
_space_group_name_Hall 'I -4'
_cell_length_a 6.0896
_cell_length_b 6.0896
_cell_length_c 8.7264
_cell_angle_alpha 90.00
_cell_angle_beta 90.00
_cell_angle_gamma 90.00
loop_
_atom_site_label
_atom_site_type_symbol
_atom_site_fract_x
_atom_site_fract_y
_atom_site_fract_z
Cs1 Cs 0.0000 0.0000 0.0000
Li1 Li 0.0000 0.0000 0.5000
W1 W 0.0000 0.5000 0.7500
O1 O 0.0631 0.2640 0.6303
```

Results
N(E_F), states/eV/f.u.: 0.00
Final energy, eV/cell: -88.38